The following is a GGA-PBE calculation of crystalline La2Al5Cu3 at its relaxed geometry, from Alexandria.

Lattice parameters (Å, degrees): 10.472 12.153 6.095 90.00 90.00 90.00
Space group Ibam (No. 72)
Inequivalent atoms, fractional coordinates:
La: 0.249 0.129 0.000 [8 per cell]
Al: 0.000 0.000 0.250 [4 per cell]
Al: 0.000 0.246 0.250 [8 per cell]
Al: 0.136 0.386 0.000 [8 per cell]
Cu: 0.000 0.500 0.250 [4 per cell]
Cu: 0.127 0.124 0.500 [8 per cell]

Summary:
Formation energy from the elements: -441 meV per atom
Offset from the most stable computed form: 0 kJ/mol of formula units
Final energy: -181.08 eV per cell
N(E_F): 0.4482 states/eV/atom

The following is a GGA-PBE calculation of crystalline La2Al6Cu3 at its relaxed geometry, from Alexandria.

Lattice parameters (Å, degrees): 7.7974 7.7974 4.0957 90.00 90.00 120.00
Space group P-62m (No. 189)
Inequivalent atoms, fractional coordinates:
La: 0.3333 0.6667 0.0000 [2 per cell]
Al: 0.0000 0.1947 0.0000 [3 per cell]
Al: 0.0000 0.6974 0.5000 [3 per cell]
Cu: 0.0000 0.3667 0.5000 [3 per cell]

Summary:
Formation energy from the elements: -368 meV per atom
Final energy: -48.64 eV per cell
N(E_F): 0.5968 states/eV/atom